In2SiH2 | Alexandria via LeMat-Bulk | PBE | optimized geometry; electronic total energy = -15.15 eV per formula unit; total magnetization = 0.000 μB/f.u.
1.0
-1.743 1.743 6.355
1.743 -1.743 6.355
1.743 1.743 -6.355
In Si H
2 1 2
Cartesian
0.000 0.000 1.793
0.000 0.000 10.918
0.000 0.000 6.355
1.743 0.000 3.178
0.000 1.743 3.178